No. 1
First-principles (PBE) data for an optimized crystal structure of Na2TiBiN, as listed in Alexandria.

Values from the calculation:
Its crystal system is tetragonal.

Cell and atoms, written as POSCAR:
```
Na2TiBiN
1.0
5.0542 0.0000 0.0000
0.0000 5.0542 0.0000
0.0000 0.0000 3.9288
Na Ti Bi N
2 1 1 1
Direct
0.0000 0.5000 0.0000
0.5000 0.0000 0.0000
0.0000 0.0000 0.5000
0.5000 0.5000 0.5000
0.0000 0.0000 0.0000
```


No. 2
First-principles (PBE) data for an optimized crystal structure of Na2BiWN, as listed in Alexandria.

Values from the calculation:
Its crystal system is tetragonal.

Cell and atoms, written as POSCAR:
```
Na2BiWN
1.0
4.4732 0.0000 0.0000
0.0000 4.4732 0.0000
0.0000 0.0000 5.1299
Na Bi W N
2 1 1 1
Direct
0.0000 0.5000 0.0000
0.5000 0.0000 0.0000
0.0000 0.0000 0.5000
0.5000 0.5000 0.5000
0.0000 0.0000 0.0000
```


No. 3
First-principles (PBE) data for an optimized crystal structure of NaY2BiN, as listed in Alexandria.

Values from the calculation:
Its crystal system is tetragonal. As for the distance to the lowest polymorph of the same formula: 0.0000 eV per atom.

Cell and atoms, written as POSCAR:
```
NaY2BiN
1.0
4.7777 0.0000 0.0000
0.0000 4.7777 0.0000
0.0000 0.0000 4.8770
Na Y Bi N
1 2 1 1
Direct
0.0000 0.0000 0.0000
0.0000 0.5000 0.5000
0.5000 0.0000 0.5000
0.5000 0.5000 0.0000
0.0000 0.0000 0.5000
```


No. 4
First-principles (PBE) data for an optimized crystal structure of NaY2BiN, as listed in Alexandria.

Values from the calculation:
Its crystal system is tetragonal. As for the distance to the lowest polymorph of the same formula: 1.5208 eV per atom.

Cell and atoms, written as POSCAR:
```
NaY2BiN
1.0
5.5507 0.0000 0.0000
0.0000 5.5507 0.0000
0.0000 0.0000 3.9947
Na Y Bi N
1 2 1 1
Direct
0.0000 0.0000 0.0000
0.0000 0.5000 0.0000
0.5000 0.0000 0.0000
0.5000 0.5000 0.5000
0.0000 0.0000 0.5000
```


No. 5
First-principles (PBE) data for an optimized crystal structure of NbBi3N, as listed in Alexandria.

Values from the calculation:
Its crystal system is cubic. As for the distance to the lowest polymorph of the same formula: 0.0000 eV per atom.

Cell and atoms, written as POSCAR:
```
NbBi3N
1.0
4.8659 0.0000 0.0000
0.0000 4.8659 0.0000
0.0000 0.0000 4.8659
Nb Bi N
1 3 1
Direct
0.0000 0.0000 0.0000
0.0000 0.5000 0.5000
0.5000 0.0000 0.5000
0.5000 0.5000 0.0000
0.5000 0.5000 0.5000
```


No. 6
First-principles (PBE) data for an optimized crystal structure of NbBiN, as listed in Alexandria.

Values from the calculation:
Its crystal system is orthorhombic.

Cell and atoms, written as POSCAR:
```
NbBiN
1.0
3.2798 0.0000 0.0000
0.0000 25.2332 0.0000
0.0000 0.0000 4.1142
Nb Bi N
4 4 4
Direct
0.0000 0.1028 0.2500
0.0000 0.8972 0.7500
0.5000 0.3972 0.7500
0.5000 0.6028 0.2500
0.0000 0.1855 0.7500
0.0000 0.8145 0.2500
0.5000 0.3145 0.2500
0.5000 0.6855 0.7500
0.0000 0.4347 0.7500
0.0000 0.5653 0.2500
0.5000 0.0653 0.2500
0.5000 0.9347 0.7500
```


No. 7
First-principles (PBE) data for an optimized crystal structure of Nb2BiN, as listed in Alexandria.

Values from the calculation:
Its crystal system is tetragonal. As for the distance to the lowest polymorph of the same formula: 0.0000 eV per atom.

Cell and atoms, written as POSCAR:
```
Nb2BiN
1.0
5.4118 0.0000 0.0000
0.0000 5.4118 0.0000
0.0000 0.0000 11.5653
Nb Bi N
8 4 4
Direct
0.1002 0.2500 0.1250
0.2500 0.6002 0.3750
0.2500 0.8998 0.8750
0.3998 0.2500 0.6250
0.6002 0.7500 0.6250
0.7500 0.1002 0.8750
0.7500 0.3998 0.3750
0.8998 0.7500 0.1250
0.0000 0.0000 0.5000
0.0000 0.5000 0.7500
0.5000 0.0000 0.2500
0.5000 0.5000 0.0000
0.0000 0.0000 0.0000
0.0000 0.5000 0.2500
0.5000 0.0000 0.7500
0.5000 0.5000 0.5000
```


No. 8
First-principles (PBE) data for an optimized crystal structure of NbBiN3, as listed in Alexandria.

Values from the calculation:
Its crystal system is cubic.

Cell and atoms, written as POSCAR:
```
NbBiN3
1.0
4.1059 0.0000 0.0000
0.0000 4.1059 0.0000
0.0000 0.0000 4.1059
Nb Bi N
1 1 3
Direct
0.0000 0.0000 0.0000
0.5000 0.5000 0.5000
0.0000 0.0000 0.5000
0.0000 0.5000 0.0000
0.5000 0.0000 0.0000
```


Asked for energy relative to the elements, uncorrected across the records above, the calculation gives -0.2810, 1.1960, -0.8558, 0.6650, 0.8092, 0.1422, 0.0343, 0.3600 eV/atom in order.
Asked for calculated volume across the records above, the calculation gives 20.1, 20.5, 22.3, 24.6, 23.0, 28.4, 21.2, 13.8 Å³/atom in order.